Compound: BaTi3Hg
Source: Alexandria via LeMat-Bulk
Functional: GGA-PBE
Structure: relaxed

Values from the calculation:
As for the polymorph energy (0 for the lowest one): 0 meV/atom. The calculation puts the calculated density at 5.50 g/cm3. The value obtained for the formation enthalpy at 0 K is 4.64 eV/f.u.

```
BaTi3Hg
1.0
5.2582 0.0000 0.0000
0.0000 5.2582 0.0000
0.0000 0.0000 5.2582
Ti Hg Ba
3 1 1
Direct
0.0000 0.5000 0.0000
0.0000 0.0000 0.5000
0.5000 0.0000 0.0000
0.0000 0.0000 0.0000
0.5000 0.5000 0.5000
```

Compound: BaTiHgW2
Source: Alexandria via LeMat-Bulk
Functional: GGA-PBE
Structure: relaxed

Values from the calculation:
The calculation puts the calculated density at 9.02 g/cm3. The value obtained for the formation enthalpy at 0 K is 8.33 eV/f.u.

```
BaTiHgW2
1.0
-1.8115 -3.1797 2.9585
4.3369 -1.1523 1.4171
-0.3102 4.3536 4.4892
Ti Hg W Ba
1 1 2 1
Direct
0.0000 0.0000 0.0000
0.5000 0.5000 0.5000
0.0000 0.5000 0.0000
0.5000 0.0000 0.0000
0.0000 0.0000 0.5000
```

Compound: Ba2TiHgW
Source: Alexandria via LeMat-Bulk
Functional: GGA-PBE
Structure: relaxed

Values from the calculation:
The calculation puts the calculated density at 5.94 g/cm3. The value obtained for the formation enthalpy at 0 K is 7.86 eV/f.u.

```
Ba2TiHgW
1.0
-1.4068 -5.2487 2.9755
2.9465 -2.6506 -3.2825
4.8805 0.8064 3.7298
Ti Hg W Ba
1 1 1 2
Direct
0.0000 0.0000 0.0000
0.0000 0.5000 0.0000
0.5000 0.5000 0.5000
0.0000 0.0000 0.5000
0.5000 0.0000 0.0000
```

Compound: BaTl3Hg2
Source: Alexandria via LeMat-Bulk
Functional: GGA-PBE
Structure: relaxed

Values from the calculation:
As for the polymorph energy (0 for the lowest one): 34 meV/atom. The calculation puts the calculated density at 9.89 g/cm3. The value obtained for the formation enthalpy at 0 K is -1.32 eV/f.u.

```
BaTl3Hg2
1.0
4.8621 0.0000 1.3385
1.2501 8.2757 4.9588
-0.0622 0.2367 9.7259
Ba Tl Hg
2 6 4
Direct
0.8642 0.1355 0.1360
0.1358 0.8645 0.8640
0.3300 0.4739 0.8661
0.9998 0.3429 0.6576
0.6698 0.1343 0.5260
0.3302 0.8657 0.4740
0.0002 0.6571 0.3424
0.6700 0.5261 0.1339
0.4999 0.1580 0.8422
0.5001 0.8420 0.1578
0.8012 0.6988 0.6987
0.1988 0.3012 0.3013
```

Compound: Ba3Tl2Hg4
Source: Alexandria via LeMat-Bulk
Functional: GGA-PBE
Structure: relaxed

Values from the calculation:
As for the polymorph energy (0 for the lowest one): 0 meV/atom. The calculation puts the calculated density at 8.79 g/cm3. The value obtained for the formation enthalpy at 0 K is -4.10 eV/f.u.

```
Ba3Tl2Hg4
1.0
-2.1713 -4.8216 -0.2963
3.2306 1.8036 -5.6881
6.4449 -3.3352 7.0452
Ba Tl Hg
3 2 4
Direct
0.6553 0.3107 0.6753
0.0000 0.0000 0.0000
0.3447 0.6893 0.3247
0.6302 0.2603 0.2959
0.3698 0.7397 0.7041
0.7198 0.4397 0.0539
0.2802 0.5603 0.9461
0.9261 0.8522 0.5929
0.0739 0.1478 0.4071
```

Compound: BaTlHg10
Source: Alexandria via LeMat-Bulk
Functional: GGA-PBE
Structure: relaxed

Values from the calculation:
The calculation puts the calculated density at 10.85 g/cm3. The value obtained for the formation enthalpy at 0 K is -1.34 eV/f.u.

```
BaTlHg10
1.0
5.4695 0.0000 0.0000
0.0000 6.2920 0.0000
0.0000 0.0000 10.4396
Ba Tl Hg
1 1 10
Direct
0.0000 0.5000 0.5000
0.0000 0.0000 0.0000
0.0000 0.0000 0.3223
0.0000 0.5000 0.8430
0.0000 0.5000 0.1570
0.0000 0.0000 0.6777
0.5000 0.0000 0.5000
0.5000 0.5000 0.0000
0.5000 0.2564 0.2561
0.5000 0.7436 0.7439
0.5000 0.7436 0.2561
0.5000 0.2564 0.7439
```

Compound: Ba2Tl5Hg3
Source: Alexandria via LeMat-Bulk
Functional: GGA-PBE
Structure: relaxed

Values from the calculation:
The calculation puts the calculated density at 9.45 g/cm3. The value obtained for the formation enthalpy at 0 K is -2.83 eV/f.u.

```
Ba2Tl5Hg3
1.0
7.2940 0.0000 0.0000
3.6470 9.6144 -0.0299
3.6470 1.4535 9.5040
Ba Tl Hg
4 10 6
Direct
0.1248 0.6305 0.1198
0.6248 0.1198 0.6305
0.8752 0.3695 0.8802
0.3752 0.8802 0.3695
0.3781 0.2518 0.9920
0.8781 0.9920 0.2518
0.6219 0.7482 0.0080
0.1219 0.0080 0.7482
0.5061 0.7439 0.7439
0.4939 0.2561 0.2561
0.7500 0.5000 0.5000
0.2500 0.5000 0.5000
0.9939 0.2561 0.2561
0.0061 0.7439 0.7439
0.3770 0.4850 0.7610
0.8770 0.7610 0.4850
0.6230 0.5150 0.2390
0.1230 0.2390 0.5150
0.2500 0.0000 0.0000
0.7500 0.0000 0.0000
```

Compound: Ba3Tl2Hg4
Source: Alexandria via LeMat-Bulk
Functional: GGA-PBE
Structure: relaxed

Values from the calculation:
As for the polymorph energy (0 for the lowest one): 47 meV/atom. The calculation puts the calculated density at 8.60 g/cm3. The value obtained for the formation enthalpy at 0 K is -3.67 eV/f.u.

```
Ba3Tl2Hg4
1.0
-1.7431 4.9804 1.2493
-3.2151 -2.9257 -4.5903
-5.4758 -3.8427 7.6794
Ba Tl Hg
3 2 4
Direct
0.3761 0.7521 0.6249
0.0000 0.0000 0.0000
0.6239 0.2479 0.3751
0.2942 0.5884 0.2474
0.7058 0.4116 0.7526
0.6898 0.3796 0.0574
0.0723 0.1446 0.6403
0.9277 0.8554 0.3597
0.3102 0.6204 0.9426
```

Compound: BaTl6Hg12
Source: Alexandria via LeMat-Bulk
Functional: GGA-PBE
Structure: relaxed

Values from the calculation:
As for the polymorph energy (0 for the lowest one): 60 meV/atom. The calculation puts the calculated density at 10.53 g/cm3. The value obtained for the formation enthalpy at 0 K is -0.86 eV/f.u.

```
BaTl6Hg12
1.0
8.8484 -0.1179 -0.1661
-2.3076 8.5430 -0.1661
-2.3076 -2.9724 8.0109
Ba Tl Hg
1 6 12
Direct
0.0000 0.0000 0.0000
0.7148 0.3003 0.3003
0.3003 0.3003 0.7148
0.3003 0.7148 0.3003
0.6997 0.6997 0.2852
0.2852 0.6997 0.6997
0.6997 0.2852 0.6997
0.8920 0.1080 0.5000
0.8809 0.6386 0.6386
0.6386 0.6386 0.8809
0.3614 0.1191 0.3614
0.3614 0.3614 0.1191
0.1191 0.3614 0.3614
0.1080 0.5000 0.8920
0.5000 0.8920 0.1080
0.1080 0.8920 0.5000
0.8920 0.5000 0.1080
0.5000 0.1080 0.8920
0.6386 0.8809 0.6386
```

Compound: Ba2TlHg2
Source: Alexandria via LeMat-Bulk
Functional: GGA-PBE
Structure: relaxed

Values from the calculation:
As for the polymorph energy (0 for the lowest one): 89 meV/atom. The calculation puts the calculated density at 7.61 g/cm3. The value obtained for the formation enthalpy at 0 K is -1.74 eV/f.u.

```
Ba2TlHg2
1.0
4.4174 0.0000 0.0000
0.0000 4.4174 0.0000
2.2087 2.2087 9.8493
Tl Hg Ba
1 2 2
Direct
0.0000 0.0000 0.0000
0.7500 0.2500 0.5000
0.2500 0.7500 0.5000
0.3956 0.3956 0.2088
0.6044 0.6044 0.7912
```

Compound: BaTlHg
Source: Alexandria via LeMat-Bulk
Functional: GGA-PBE
Structure: relaxed

Values from the calculation:
As for the polymorph energy (0 for the lowest one): 124 meV/atom. The calculation puts the calculated density at 7.83 g/cm3. The value obtained for the formation enthalpy at 0 K is -0.95 eV/f.u.

```
BaTlHg
1.0
-5.3109 1.1099 -0.6085
-2.6647 -1.7518 -4.4315
-3.6920 -3.9982 0.4374
Tl Hg Ba
1 1 1
Direct
0.0000 0.0000 0.0000
0.7500 0.7500 0.7500
0.5000 0.5000 0.5000
```

Compound: Ba2Tl2Hg3
Source: Alexandria via LeMat-Bulk
Functional: GGA-PBE
Structure: relaxed

Values from the calculation:
As for the polymorph energy (0 for the lowest one): 0 meV/atom. The calculation puts the calculated density at 9.03 g/cm3. The value obtained for the formation enthalpy at 0 K is -2.57 eV/f.u.

```
Ba2Tl2Hg3
1.0
5.2122 0.0000 0.0000
-2.6061 6.2061 -0.8577
0.0000 -0.9774 7.4377
Ba Tl Hg
2 2 3
Direct
0.8734 0.7468 0.2326
0.1266 0.2532 0.7674
0.8209 0.6417 0.7255
0.1791 0.3583 0.2745
0.5000 0.0000 0.0000
0.5983 0.1965 0.4206
0.4017 0.8035 0.5794
```

Compound: BaTl4Hg12
Source: Alexandria via LeMat-Bulk
Functional: GGA-PBE
Structure: relaxed

Values from the calculation:
The calculation puts the calculated density at 9.78 g/cm3. The value obtained for the formation enthalpy at 0 K is -0.07 eV/f.u.

```
BaTl4Hg12
1.0
9.0522 0.0000 0.0000
-3.0174 8.5345 0.0000
-3.0174 -4.2673 7.3911
Ba Tl Hg
1 4 12
Direct
0.0000 0.0000 0.0000
0.0000 0.5000 0.0000
0.5000 0.0000 0.0000
0.5000 0.5000 0.5000
0.0000 0.0000 0.5000
0.8564 0.3553 0.2118
0.3553 0.4989 0.1436
0.7882 0.1436 0.6447
0.3553 0.2118 0.8564
0.2118 0.8564 0.3553
0.6447 0.5011 0.8564
0.4989 0.1436 0.3553
0.5011 0.8564 0.6447
0.6447 0.7882 0.1436
0.8564 0.6447 0.5011
0.1436 0.3553 0.4989
0.1436 0.6447 0.7882
```

Compound: BaTl4Hg8
Source: Alexandria via LeMat-Bulk
Functional: GGA-PBE
Structure: relaxed

Values from the calculation:
The calculation puts the calculated density at 10.87 g/cm3. The value obtained for the formation enthalpy at 0 K is -1.14 eV/f.u.

```
BaTl4Hg8
1.0
-0.4339 -3.2079 5.7178
7.2038 -0.0610 4.2877
-2.2573 4.9480 6.3800
Ba Tl Hg
1 4 8
Direct
0.0000 0.0000 0.0000
0.0000 0.0000 0.5000
0.5000 0.0000 0.5000
0.0000 0.5000 0.0000
0.5000 0.5000 0.0000
0.0000 0.3575 0.6425
0.0000 0.6425 0.3575
0.3575 0.6425 0.6425
0.6425 0.3575 0.3575
0.5000 0.7946 0.2054
0.5000 0.2054 0.7946
0.2946 0.2054 0.2054
0.7054 0.7946 0.7946
```

Compound: Ba4TlHg3
Source: Alexandria via LeMat-Bulk
Functional: GGA-PBE
Structure: relaxed

Values from the calculation:
The calculation puts the calculated density at 7.42 g/cm3. The value obtained for the formation enthalpy at 0 K is -4.01 eV/f.u.

```
Ba4TlHg3
1.0
5.7934 0.0000 -1.5638
-0.4274 5.7722 -1.5834
-0.5692 -0.5938 9.4043
Tl Ba Hg
1 4 3
Direct
0.5000 0.0000 0.0000
0.3740 0.3739 0.7480
0.6260 0.6261 0.2520
0.1260 0.1260 0.2520
0.8740 0.8740 0.7480
0.0000 0.5000 0.0000
0.7484 0.2486 0.4969
0.2516 0.7514 0.5031
```

Compound: Ba6Tl15Hg8
Source: Alexandria via LeMat-Bulk
Functional: GGA-PBE
Structure: relaxed

Values from the calculation:
The calculation puts the calculated density at 9.29 g/cm3. The value obtained for the formation enthalpy at 0 K is -7.35 eV/f.u.

```
Ba6Tl15Hg8
1.0
-5.9624 4.1048 -8.4908
-10.7563 -2.7511 -1.1078
-7.9309 7.6103 1.9173
Ba Tl Hg
6 15 8
Direct
0.7426 0.7426 0.2574
0.2574 0.2574 0.7426
0.7426 0.2574 0.2574
0.2574 0.7426 0.7426
0.7426 0.2574 0.7426
0.2574 0.7426 0.2574
0.9894 0.3369 0.3369
0.0106 0.6631 0.6631
0.3369 0.3369 0.9894
0.3369 0.3369 0.3369
0.6631 0.6631 0.0106
0.6631 0.6631 0.6631
0.3369 0.9894 0.3369
0.6631 0.0106 0.6631
0.5000 0.5000 0.0000
0.0000 0.0000 0.5000
0.5000 0.0000 0.0000
0.0000 0.5000 0.5000
0.5000 0.0000 0.5000
0.0000 0.5000 0.0000
0.0000 0.0000 0.0000
0.6182 0.1273 0.1273
0.3818 0.8727 0.8727
0.1273 0.1273 0.6182
0.1273 0.1273 0.1273
0.8727 0.8727 0.3818
0.8727 0.8727 0.8727
0.1273 0.6182 0.1273
0.8727 0.3818 0.8727
```

Compound: Ba7Tl2Hg2
Source: Alexandria via LeMat-Bulk
Functional: GGA-PBE
Structure: relaxed

Values from the calculation:
The calculation puts the calculated density at 5.61 g/cm3. The value obtained for the formation enthalpy at 0 K is -2.49 eV/f.u.

```
Ba7Tl2Hg2
1.0
-5.3941 1.9057 -5.6273
5.2235 -3.1923 -6.0877
-1.4374 -7.4320 2.6635
Ba Tl Hg
7 2 2
Direct
0.9998 0.2755 0.5003
0.5003 0.7245 0.9998
0.0002 0.7245 0.4997
0.4997 0.2755 0.0002
0.0000 0.0000 0.0000
0.5002 0.7379 0.4998
0.4998 0.2621 0.5002
0.8364 0.5000 0.8364
0.1636 0.5000 0.1636
0.7064 0.0000 0.2936
0.2936 0.0000 0.7064
```

Compound: BaTl15Hg4
Source: Alexandria via LeMat-Bulk
Functional: GGA-PBE
Structure: relaxed

Values from the calculation:
The calculation puts the calculated density at 10.94 g/cm3. The value obtained for the formation enthalpy at 0 K is -0.64 eV/f.u.

```
BaTl15Hg4
1.0
5.0742 0.0000 0.0000
0.0000 5.0742 0.0000
0.0000 0.0000 23.6101
Ba Tl Hg
1 15 4
Direct
0.0000 0.0000 0.0000
0.5000 0.5000 0.0000
0.5000 0.5000 0.2035
0.5000 0.5000 0.4021
0.5000 0.5000 0.5979
0.5000 0.5000 0.7965
0.5000 0.0000 0.1099
0.5000 0.0000 0.3006
0.5000 0.0000 0.5000
0.5000 0.0000 0.6994
0.5000 0.0000 0.8901
0.0000 0.5000 0.1099
0.0000 0.5000 0.3006
0.0000 0.5000 0.5000
0.0000 0.5000 0.6994
0.0000 0.5000 0.8901
0.0000 0.0000 0.2007
0.0000 0.0000 0.4031
0.0000 0.0000 0.5969
0.0000 0.0000 0.7993
```

Compound: Ba3Tl4Hg4
Source: Alexandria via LeMat-Bulk
Functional: GGA-PBE
Structure: relaxed

Values from the calculation:
As for the polymorph energy (0 for the lowest one): 29 meV/atom. The calculation puts the calculated density at 9.10 g/cm3. The value obtained for the formation enthalpy at 0 K is -3.75 eV/f.u.

```
Ba3Tl4Hg4
1.0
-0.9562 -3.1173 -3.7684
-3.7357 -5.4079 5.4215
-5.3240 8.2255 -2.1586
Ba Tl Hg
3 4 4
Direct
0.1330 0.1330 0.2659
0.8670 0.8670 0.7341
0.0000 0.5000 0.0000
0.3330 0.1374 0.6659
0.6670 0.4715 0.3341
0.6670 0.8626 0.3341
0.3330 0.5285 0.6659
0.2126 0.7126 0.4253
0.7874 0.2874 0.5747
0.5000 0.8217 0.0000
0.5000 0.1783 0.0000
```

Compound: BaTl2Hg3
Source: Alexandria via LeMat-Bulk
Functional: GGA-PBE
Structure: relaxed

Values from the calculation:
As for the polymorph energy (0 for the lowest one): 0 meV/atom. The calculation puts the calculated density at 10.24 g/cm3. The value obtained for the formation enthalpy at 0 K is -1.51 eV/f.u.

```
BaTl2Hg3
1.0
5.4125 0.0000 0.0000
-2.7062 4.6873 0.0000
0.0000 0.0000 14.6734
Ba Tl Hg
2 4 6
Direct
0.0000 0.0000 0.2500
0.0000 0.0000 0.7500
0.6667 0.3333 0.4139
0.3333 0.6667 0.5861
0.3333 0.6667 0.9139
0.6667 0.3333 0.0861
0.0000 0.0000 0.5000
0.0000 0.0000 0.0000
0.6667 0.3333 0.6361
0.3333 0.6667 0.1361
0.6667 0.3333 0.8639
0.3333 0.6667 0.3639
```